Below is a relaxed structure of RbGePb2Se4, with properties calculated at the GGA-PBE level.

Computed properties:
formation energy without anion corrections: -0.4459 eV/atom
Fermi-level density of states: 0.63 states/eV per atom
symmetry: Imma, No. 74

Cell lengths 8.7273, 8.7273, 8.7273 Å; angles 120.92, 118.98, 90.09 degrees
With the nearest neighbours (Å) after each atom.
Element x y z (fractional)
Rb: 0.5000 0.0000 0.0000  6 Se 3.22-3.25
Rb: 0.5000 0.5000 0.5000  6 Se 3.22-3.25
Ge: 0.0000 0.0000 0.0000  6 Se 2.98-3.00
Ge: 0.5000 0.0000 0.5000  6 Se 2.98-3.00
Pb: 0.0000 0.0000 0.5000  6 Se 2.94-2.95
Pb: 0.0000 0.5000 0.0000  6 Se 2.94-2.95
Pb: 0.0000 0.5000 0.5000  6 Se 3.19-3.20
Pb: 0.5000 0.5000 0.0000  6 Se 3.19-3.20
Se: 0.2169 0.2412 0.9757  3 Pb 2.94-3.20, 1 Ge 2.98, 2 Rb 3.25
Se: 0.2345 0.7588 0.4757  3 Pb 2.94-3.20, 1 Ge 2.98, 2 Rb 3.25
Se: 0.2391 0.2232 0.4841  3 Pb 2.95-3.19, 2 Ge 3.00, 1 Rb 3.22
Se: 0.2391 0.7550 0.0159  3 Pb 2.95-3.19, 2 Ge 3.00, 1 Rb 3.22
Se: 0.7609 0.2450 0.9841  3 Pb 2.95-3.19, 2 Ge 3.00, 1 Rb 3.22
Se: 0.7609 0.7768 0.5159  3 Pb 2.95-3.19, 2 Ge 3.00, 1 Rb 3.22
Se: 0.7655 0.2412 0.5243  3 Pb 2.94-3.20, 1 Ge 2.98, 2 Rb 3.25
Se: 0.7831 0.7588 0.0243  3 Pb 2.94-3.20, 1 Ge 2.98, 2 Rb 3.25


Below is a relaxed structure of TmScH, with properties calculated at the GGA-PBE level.

Computed properties:
ΔE to the lowest computed polymorph: 0.03 eV/f.u.
Fermi-level density of states: 0.91 states/eV per atom
symmetry: P-6m2, No. 187

Cell lengths 3.5139, 3.5139, 5.1844 Å; angles 90.00, 90.00, 120.00 degrees
With the nearest neighbours (Å) after each atom.
Element x y z (fractional)
Tm: 0.0000 0.0000 0.0000  2 H 2.59
Sc: 0.3333 0.6667 0.5000  3 H 2.03
H: 0.0000 0.0000 0.5000  3 Sc 2.03


Below is a relaxed structure of LiCe5Te6, with properties calculated at the GGA-PBE level.

Computed properties:
formation energy without anion corrections: -1.3218 eV/atom
Fermi-level density of states: 2.94 states/eV per atom
symmetry: C2/m, No. 12

Cell lengths 7.7586, 7.7586, 7.7232 Å; angles 99.71, 99.71, 120.15 degrees
With the nearest neighbours (Å) after each atom.
Element x y z (fractional)
Li: 0.0000 0.0000 0.0000  6 Te 3.04-3.08
Ce: 0.1716 0.8284 0.5000  6 Te 3.17-3.23
Ce: 0.3349 0.6651 0.0000  6 Te 3.17
Ce: 0.5000 0.5000 0.5000  6 Te 3.16-3.24
Ce: 0.6651 0.3349 0.0000  6 Te 3.17
Ce: 0.8284 0.1716 0.5000  6 Te 3.17-3.23
Te: 0.0795 0.4013 0.2406  1 Li 3.04, 5 Ce 3.16-3.23
Te: 0.2401 0.2401 0.7526  1 Li 3.08, 5 Ce 3.17-3.24
Te: 0.4013 0.0795 0.2406  1 Li 3.04, 5 Ce 3.16-3.23
Te: 0.5987 0.9205 0.7594  1 Li 3.04, 5 Ce 3.16-3.23
Te: 0.7599 0.7599 0.2474  1 Li 3.08, 5 Ce 3.17-3.24
Te: 0.9205 0.5987 0.7594  1 Li 3.04, 5 Ce 3.16-3.23


Below is a relaxed structure of Dy3Cd3Ag2, with properties calculated at the GGA-PBE level.

Computed properties:
energy of formation: -6.69 kcal/mol of atoms
Fermi-level density of states: 0.95 states/eV per atom
symmetry: P-62m, No. 189

Cell lengths 7.6925, 7.6925, 3.8466 Å; angles 90.00, 90.00, 120.00 degrees
With the nearest neighbours (Å) after each atom.
Element x y z (fractional)
Dy: 0.0000 0.4101 0.0000  4 Ag 3.02, 6 Cd 3.35-3.37
Dy: 0.4101 0.0000 0.0000  4 Ag 3.02, 6 Cd 3.35-3.37
Dy: 0.5899 0.5899 0.0000  4 Ag 3.02, 6 Cd 3.35-3.37
Cd: 0.0000 0.7702 0.5000  2 Ag 3.04, 2 Cd 3.06, 6 Dy 3.35-3.37
Cd: 0.2298 0.2298 0.5000  2 Ag 3.04, 2 Cd 3.06, 6 Dy 3.35-3.37
Cd: 0.7702 0.0000 0.5000  2 Ag 3.04, 2 Cd 3.06, 6 Dy 3.35-3.37
Ag: 0.3333 0.6667 0.5000  6 Dy 3.02, 3 Cd 3.04
Ag: 0.6667 0.3333 0.5000  6 Dy 3.02, 3 Cd 3.04


Below is a relaxed structure of KNa5Pb2, with properties calculated at the GGA-PBE level.

Computed properties:
energy of formation: -1.86 kcal/mol of atoms
Fermi-level density of states: 0.59 states/eV per atom
symmetry: Immm, No. 71

Cell lengths 4.5262, 10.3595, 12.5601 Å; angles 90.00, 90.00, 90.00 degrees
With the nearest neighbours (Å) after each atom.
Element x y z (fractional)
K: 0.0000 0.0000 0.0000  4 Pb 3.79
K: 0.5000 0.5000 0.5000  4 Pb 3.79
Na: 0.0000 0.1959 0.3381  3 Pb 3.27-3.31, 4 Na 3.36-3.66
Na: 0.0000 0.1959 0.6619  3 Pb 3.27-3.31, 4 Na 3.36-3.66
Na: 0.0000 0.5000 0.0000  2 Pb 3.24
Na: 0.0000 0.8041 0.3381  3 Pb 3.27-3.31, 4 Na 3.36-3.66
Na: 0.0000 0.8041 0.6619  3 Pb 3.27-3.31, 4 Na 3.36-3.66
Na: 0.5000 0.0000 0.5000  2 Pb 3.24
Na: 0.5000 0.3041 0.1619  3 Pb 3.27-3.31, 4 Na 3.36-3.66
Na: 0.5000 0.3041 0.8381  3 Pb 3.27-3.31, 4 Na 3.36-3.66
Na: 0.5000 0.6959 0.1619  3 Pb 3.27-3.31, 4 Na 3.36-3.66
Na: 0.5000 0.6959 0.8381  3 Pb 3.27-3.31, 4 Na 3.36-3.66
Pb: 0.0000 0.5000 0.2581  7 Na 3.24-3.31
Pb: 0.0000 0.5000 0.7419  7 Na 3.24-3.31
Pb: 0.5000 0.0000 0.2419  7 Na 3.24-3.31
Pb: 0.5000 0.0000 0.7581  7 Na 3.24-3.31


Below is a relaxed structure of Co2MoAu, with properties calculated at the GGA-PBE level.

Computed properties:
energy of formation: 7.06 kcal/mol of atoms
Fermi-level density of states: 1.16 states/eV per atom
symmetry: Cmmm, No. 65

Cell lengths 5.5304, 7.1974, 2.7396 Å; angles 90.00, 90.00, 90.00 degrees
With the nearest neighbours (Å) after each atom.
Element x y z (fractional)
Co: 0.2500 0.2500 0.0000  4 Mo 2.65, 4 Au 2.65, 4 Co 2.74-2.77
Co: 0.2500 0.7500 0.0000  4 Mo 2.65, 4 Au 2.65, 4 Co 2.74-2.77
Co: 0.7500 0.2500 0.0000  4 Au 2.65, 4 Mo 2.65, 4 Co 2.74-2.77
Co: 0.7500 0.7500 0.0000  4 Mo 2.65, 4 Au 2.65, 4 Co 2.74-2.77
Mo: 0.0000 0.0000 0.5000  8 Co 2.65, 2 Mo 2.74, 2 Au 2.77
Mo: 0.5000 0.5000 0.5000  8 Co 2.65, 2 Mo 2.74, 2 Au 2.77
Au: 0.0000 0.5000 0.5000  8 Co 2.65, 2 Au 2.74, 2 Mo 2.77
Au: 0.5000 0.0000 0.5000  8 Co 2.65, 2 Au 2.74, 2 Mo 2.77


Below is a relaxed structure of CaLuMgSc, with properties calculated at the GGA-PBE level.

Computed properties:
energy of formation: 2.93 kcal/mol of atoms
Fermi-level density of states: 0.86 states/eV per atom
symmetry: F-43m, No. 216

Cell lengths 7.6959, 7.6959, 7.6959 Å; angles 90.00, 90.00, 90.00 degrees
With the nearest neighbours (Å) after each atom.
Element x y z (fractional)
Ca: 0.0000 0.0000 0.0000  4 Mg 3.33, 4 Sc 3.33
Ca: 0.0000 0.5000 0.5000  4 Mg 3.33, 4 Sc 3.33
Ca: 0.5000 0.0000 0.5000  4 Mg 3.33, 4 Sc 3.33
Ca: 0.5000 0.5000 0.0000  4 Mg 3.33, 4 Sc 3.33
Lu: 0.0000 0.0000 0.5000  4 Mg 3.33, 4 Sc 3.33
Lu: 0.0000 0.5000 0.0000  4 Mg 3.33, 4 Sc 3.33
Lu: 0.5000 0.0000 0.0000  4 Mg 3.33, 4 Sc 3.33
Lu: 0.5000 0.5000 0.5000  4 Mg 3.33, 4 Sc 3.33
Mg: 0.2500 0.2500 0.2500  4 Ca 3.33, 4 Lu 3.33
Mg: 0.2500 0.7500 0.7500  4 Ca 3.33, 4 Lu 3.33
Mg: 0.7500 0.2500 0.7500  4 Ca 3.33, 4 Lu 3.33
Mg: 0.7500 0.7500 0.2500  4 Ca 3.33, 4 Lu 3.33
Sc: 0.2500 0.2500 0.7500  4 Ca 3.33, 4 Lu 3.33
Sc: 0.2500 0.7500 0.2500  4 Ca 3.33, 4 Lu 3.33
Sc: 0.7500 0.2500 0.2500  4 Ca 3.33, 4 Lu 3.33
Sc: 0.7500 0.7500 0.7500  4 Ca 3.33, 4 Lu 3.33


Below is a relaxed structure of Nd4HgRhAu2, with properties calculated at the GGA-PBE level.

Computed properties:
energy of formation: -15.41 kcal/mol of atoms
Fermi-level density of states: 0.70 states/eV per atom
symmetry: R-3m, No. 166

Cell lengths 8.9908, 8.9908, 8.9908 Å; angles 34.05, 34.05, 34.05 degrees
With the nearest neighbours (Å) after each atom.
Element x y z (fractional)
Nd: 0.1164 0.1164 0.1164  1 Rh 2.96, 4 Au 3.10-3.16, 3 Hg 3.30
Nd: 0.3681 0.3681 0.3681  3 Rh 3.17, 4 Au 3.22-3.37, 1 Hg 3.35, 3 Nd 3.52
Nd: 0.6319 0.6319 0.6319  3 Rh 3.17, 4 Au 3.22-3.37, 1 Hg 3.35, 3 Nd 3.52
Nd: 0.8836 0.8836 0.8836  1 Rh 2.96, 4 Au 3.10-3.16, 3 Hg 3.30
Hg: 0.5000 0.5000 0.5000  8 Nd 3.30-3.35, 6 Au 3.58
Rh: 0.0000 0.0000 0.0000  8 Nd 2.96-3.17
Au: 0.2411 0.2411 0.2411  8 Nd 3.10-3.37
Au: 0.7589 0.7589 0.7589  8 Nd 3.10-3.37


Question: Which formula does entry 5 have?
Answer: KNa5Pb2